A geometry-optimized Mg4Si7 structure. Source: Alexandria, functional PBE.

Properties
Excess energy over the best structure of this formula in the dataset ... 19 meV/atom
ΔE_f (raw) ... 0.12 eV/atom

Lattice parameters (Å, degrees): 4.0020 8.4817 12.4654 84.71 85.65 89.03
Last column: nearest neighbours and their distance in Å.
Fractional coordinates of all 22 atoms:
Mg: 0.0000 0.0000 0.0000  4 Si 2.67-2.96
Mg: 0.0089 0.3928 0.9131  4 Si 2.67-2.87, 1 Mg 2.97
Mg: 0.0287 0.3995 0.6739  5 Si 2.63-2.80
Mg: 0.3994 0.7342 0.3391  8 Si 2.78-3.07
Mg: 0.4450 0.4805 0.1117  7 Si 2.82-3.03
Mg: 0.5351 0.0895 0.7951  4 Si 2.69-2.91
Mg: 0.6094 0.2566 0.5128  6 Si 2.71-2.96
Mg: 0.9794 0.7916 0.7202  7 Si 2.70-2.98
Si: 0.0871 0.0966 0.6449  1 Si 2.43, 3 Mg 2.63-2.70
Si: 0.3179 0.2935 0.3161  3 Si 2.40-2.48
Si: 0.3834 0.9249 0.5230  4 Si 2.40-2.43
Si: 0.3962 0.1109 0.1796  4 Si 2.38-2.45
Si: 0.4334 0.6446 0.5734  4 Si 2.39-2.59
Si: 0.4655 0.7650 0.8908  3 Si 2.46-2.47
Si: 0.4957 0.2108 0.9952  1 Si 2.38
Si: 0.5037 0.5549 0.7664  2 Si 2.46-2.49, 2 Mg 2.70-2.72
Si: 0.8251 0.4609 0.3008  4 Si 2.42-2.48
Si: 0.8824 0.9630 0.2382  4 Si 2.39-2.45
Si: 0.9086 0.0060 0.4239  3 Si 2.39-2.43
Si: 0.9274 0.5538 0.4770  3 Si 2.39-2.59
Si: 0.9450 0.6768 0.9961  3 Si 2.35-2.47
Si: 0.9563 0.7021 0.1816  3 Si 2.35-2.45

***

A geometry-optimized PrNdBi structure. Source: Alexandria, functional PBE.

Properties
E_form ... -0.31 eV per atom

Lattice parameters (Å, degrees): 5.3502 5.3502 4.1675 90.00 90.00 120.00
Last column: nearest neighbours and their distance in Å.
Fractional coordinates of all 3 atoms:
Pr: 0.0000 0.0000 0.0000  3 Bi 3.36, 3 Nd 3.66
Nd: 0.3333 0.6667 0.5301  3 Bi 3.21
Bi: 0.6667 0.3333 0.3171  3 Nd 3.21, 3 Pr 3.36

***

A geometry-optimized BaGe3As3 structure. Source: Alexandria, functional PBE.

Properties
Excess energy over the best structure of this formula in the dataset ... 70 meV/atom
E_form ... -0.10 eV per atom

Lattice parameters (Å, degrees): 7.3973 7.3973 7.3973 90.00 90.00 90.00
Last column: nearest neighbours and their distance in Å.
Fractional coordinates of all 14 atoms:
Ba: 0.0000 0.0000 0.0000  12 Ge 4.14, 12 As 4.14
Ba: 0.5000 0.5000 0.5000  12 Ge 4.14, 12 As 4.14
Ge: 0.0000 0.2500 0.5000  4 As 2.62
Ge: 0.0000 0.7500 0.5000  4 As 2.62
Ge: 0.2500 0.5000 0.0000  4 As 2.62
Ge: 0.5000 0.0000 0.2500  4 As 2.62
Ge: 0.5000 0.0000 0.7500  4 As 2.62
Ge: 0.7500 0.5000 0.0000  4 As 2.62
As: 0.0000 0.5000 0.2500  4 Ge 2.62
As: 0.0000 0.5000 0.7500  4 Ge 2.62
As: 0.2500 0.0000 0.5000  4 Ge 2.62
As: 0.5000 0.2500 0.0000  4 Ge 2.62
As: 0.5000 0.7500 0.0000  4 Ge 2.62
As: 0.7500 0.0000 0.5000  4 Ge 2.62

***

A geometry-optimized PuUOsAu structure. Source: Alexandria, functional PBE.

Properties
E_form ... -0.14 eV per atom

Lattice parameters (Å, degrees): 4.7338 4.7338 4.7338 60.00 60.00 60.00
Last column: nearest neighbours and their distance in Å.
Fractional coordinates of all 4 atoms:
Pu: 0.0000 0.0000 0.0000  4 U 2.90, 4 Au 2.90
U: 0.7500 0.7500 0.7500  4 Os 2.90, 4 Pu 2.90
Os: 0.5000 0.5000 0.5000  4 U 2.90, 4 Au 2.90
Au: 0.2500 0.2500 0.2500  4 Os 2.90, 4 Pu 2.90

***

A geometry-optimized AcYTh2N4 structure. Source: Alexandria, functional PBE.

Properties
ΔE_f (raw) ... -1.44 eV/atom

Lattice parameters (Å, degrees): 6.3526 3.6870 6.4124 90.00 109.50 90.00
Last column: nearest neighbours and their distance in Å.
Fractional coordinates of all 8 atoms:
Ac: 0.0000 0.0000 0.0000  6 N 2.70-2.72
Y: 0.0000 0.5000 0.5000  6 N 2.62-2.63
Th: 0.5000 0.0000 0.5000  6 N 2.50-2.51
Th: 0.5000 0.5000 0.0000  6 N 2.59-2.60
N: 0.2611 0.0000 0.7424  3 Th 2.51-2.60, 2 Y 2.62, 1 Ac 2.70
N: 0.2735 0.5000 0.2693  3 Th 2.50-2.59, 1 Y 2.63, 2 Ac 2.72
N: 0.7265 0.5000 0.7307  3 Th 2.50-2.59, 1 Y 2.63, 2 Ac 2.72
N: 0.7389 0.0000 0.2576  3 Th 2.51-2.60, 2 Y 2.62, 1 Ac 2.70

***

A geometry-optimized Ac2DyPu structure. Source: Alexandria, functional PBE.

Properties
Excess energy over the best structure of this formula in the dataset ... 36 meV/atom
E_form ... 0.20 eV per atom

Lattice parameters (Å, degrees): 5.3721 5.3721 5.0734 90.00 90.00 90.00
Last column: nearest neighbours and their distance in Å.
Fractional coordinates of all 4 atoms:
Ac: 0.0000 0.5000 0.0000  4 Dy 3.69, 4 Pu 3.69, 4 Ac 3.80
Ac: 0.5000 0.0000 0.0000  4 Dy 3.69, 4 Pu 3.69, 4 Ac 3.80
Dy: 0.0000 0.0000 0.5000  8 Ac 3.69, 4 Pu 3.80
Pu: 0.5000 0.5000 0.5000  8 Ac 3.69, 4 Dy 3.80

***

M_tot values, unit μB per formula unit, following the record order: 0.00; 0.00; 0.00; 5.16; 0.00; 6.59.
N(E_F) values, unit states/eV per atom, following the record order: 0.216; 1.087; 0.450; 0.966; 0.409; 4.196.